[1]
## K2NiTe (GGA-PBE)

Data for K2NiTe after structural relaxation.

The value obtained for the density of states at the Fermi level is 2.7 states/eV/cell. The value obtained for the uncorrected formation energy is 22 kJ/mol of formula units.

Cell: 4.7608 4.7608 5.0252 Å, 90.00 90.00 90.00°
Last column: nearest neighbours and their distance in Å.
Atoms (fractional coordinates):
K  0.0000  0.5000  0.0000  4 K 3.37, 4 Te 3.46, 4 Ni 3.46
K  0.5000  0.0000  0.0000  4 K 3.37, 4 Te 3.46, 4 Ni 3.46
Ni  0.0000  0.0000  0.5000  4 Te 3.37, 8 K 3.46
Te  0.5000  0.5000  0.5000  4 Ni 3.37, 8 K 3.46



[2]
## HfSe (GGA-PBE)

Data for HfSe after structural relaxation.

The value obtained for the density of states at the Fermi level is 0.4 states/eV/cell. The value obtained for the uncorrected formation energy is -177 kJ/mol of formula units.

Cell: 3.3276 3.3276 3.3276 Å, 90.00 90.00 90.00°
Last column: nearest neighbours and their distance in Å.
Atoms (fractional coordinates):
Hf  0.0000  0.0000  0.0000  8 Se 2.88
Se  0.5000  0.5000  0.5000  8 Hf 2.88



[3]
## NpFeIr (GGA-PBE)

Data for NpFeIr after structural relaxation.

As for the energy of formation: -0.059 eV/atom. The value obtained for the density of states at the Fermi level is 10.0 states/eV/cell.

Cell: 6.1218 5.0049 4.9818 Å, 75.61 52.36 52.02°
Last column: nearest neighbours and their distance in Å.
Atoms (fractional coordinates):
Np  0.1478  0.8522  0.1478  1 Np 2.55, 4 Fe 2.65
Np  0.8522  0.1478  0.8522  1 Np 2.55, 4 Fe 2.65
Fe  0.2500  0.2500  0.2500  2 Fe 2.49, 4 Ir 2.60, 4 Np 2.65
Fe  0.7500  0.7500  0.7500  2 Fe 2.49, 4 Ir 2.60, 4 Np 2.65
Ir  0.3365  0.3365  0.6635  4 Fe 2.60, 3 Ir 2.84-2.91
Ir  0.6635  0.6635  0.3365  4 Fe 2.60, 3 Ir 2.84-2.91



[4]
## Tc2HgPb (GGA-PBE)

Data for Tc2HgPb after structural relaxation.

As for the energy of formation: 0.915 eV/atom. The value obtained for the density of states at the Fermi level is 3.5 states/eV/cell. The energy relative to the lowest polymorph listed for this composition comes out at 641 meV per atom.

Cell: 4.7408 4.7408 4.7408 Å, 60.00 60.00 60.00°
Last column: nearest neighbours and their distance in Å.
Atoms (fractional coordinates):
Tc  0.0000  0.0000  0.0000  4 Pb 2.90, 4 Tc 2.90
Tc  0.2500  0.2500  0.2500  4 Hg 2.90, 4 Tc 2.90
Hg  0.5000  0.5000  0.5000  4 Pb 2.90, 4 Tc 2.90
Pb  0.7500  0.7500  0.7500  4 Hg 2.90, 4 Tc 2.90



[5]
## Li4AgSb3 (GGA-PBE)

Data for Li4AgSb3 after structural relaxation.

The value obtained for the density of states at the Fermi level is 2.8 states/eV/cell. The value obtained for the uncorrected formation energy is -201 kJ/mol of formula units.

Cell: 11.9591 11.9591 3.1923 Å, 95.17 95.17 22.52°
Last column: nearest neighbours and their distance in Å.
Atoms (fractional coordinates):
Li  0.1023  0.1023  0.1044  2 Ag 2.81-2.94, 2 Sb 2.89, 1 Li 2.94
Li  0.2177  0.2177  0.5502  3 Li 2.82-2.94, 3 Sb 2.91-3.02
Li  0.7823  0.7823  0.4498  3 Li 2.82-2.94, 3 Sb 2.91-3.02
Li  0.8977  0.8977  0.8956  2 Ag 2.81-2.94, 2 Sb 2.89, 1 Li 2.94
Ag  0.0000  0.0000  0.5000  4 Li 2.81-2.94, 4 Sb 2.83
Sb  0.3315  0.3315  0.0777  8 Li 2.89-3.22, 2 Sb 3.19
Sb  0.5000  0.5000  0.0000  4 Ag 2.83
Sb  0.6685  0.6685  0.9223  8 Li 2.89-3.22, 2 Sb 3.19



[6]
## TbPuTc (GGA-PBE)

Data for TbPuTc after structural relaxation.

As for the energy of formation: 0.036 eV/atom. The value obtained for the density of states at the Fermi level is 6.3 states/eV/cell. The energy relative to the lowest polymorph listed for this composition comes out at 6 meV per atom.

Cell: 6.4749 6.4749 6.4749 Å, 149.64 149.64 43.48°
Last column: nearest neighbours and their distance in Å.
Atoms (fractional coordinates):
Tb  0.0000  0.0000  0.0000  4 Tc 3.02
Pu  0.2815  0.2815  0.0000  4 Tc 2.85
Tc  0.6530  0.6530  0.0000  4 Pu 2.85, 4 Tb 3.02



[7]
## BaGa3Os (GGA-PBE)

Data for BaGa3Os after structural relaxation.

As for the energy of formation: -0.302 eV/atom. The value obtained for the density of states at the Fermi level is 0.1 states/eV/cell. The energy relative to the lowest polymorph listed for this composition comes out at 96 meV per atom.

Cell: 6.6947 6.6947 7.0813 Å, 117.15 117.15 58.35°
Last column: nearest neighbours and their distance in Å.
Atoms (fractional coordinates):
Ba  0.0000  0.0000  0.0000  9 Ga 3.32-3.49, 1 Os 3.71
Ba  0.7429  0.7429  0.3707  9 Ga 3.27-3.41
Ga  0.2748  0.7635  0.4487  2 Os 2.42-2.45
Ga  0.3053  0.3053  0.4653  2 Os 2.42-2.44, 1 Ga 2.70
Ga  0.4486  0.4486  0.9119  2 Os 2.57-2.60, 1 Ga 2.70
Ga  0.5134  0.9145  0.9148  2 Os 2.55-2.62, 1 Ga 2.62
Ga  0.7635  0.2748  0.4487  2 Os 2.42-2.45
Ga  0.9145  0.5134  0.9148  2 Os 2.55-2.62, 1 Ga 2.62
Os  0.1885  0.1885  0.6637  6 Ga 2.42-2.60
Os  0.3597  0.3597  0.1760  6 Ga 2.44-2.62



[8]
## Cs2MgAg2Br6 (GGA-PBE)

Data for Cs2MgAg2Br6 after structural relaxation.

The value obtained for the density of states at the Fermi level is 0.0 states/eV/cell. The value obtained for the uncorrected formation energy is -1222 kJ/mol of formula units.

Cell: 8.3100 8.3100 8.3100 Å, 58.93 58.93 58.93°
Last column: nearest neighbours and their distance in Å.
Atoms (fractional coordinates):
Cs  0.2347  0.2347  0.2347  9 Br 3.77-4.11, 1 Ag 3.88
Cs  0.7653  0.7653  0.7653  9 Br 3.77-4.11, 1 Ag 3.88
Mg  0.0000  0.0000  0.0000  6 Br 2.71
Ag  0.4238  0.4238  0.4238  3 Br 2.61
Ag  0.5762  0.5762  0.5762  3 Br 2.61
Br  0.2159  0.7681  0.7681  1 Ag 2.61, 1 Mg 2.71
Br  0.2319  0.2319  0.7841  1 Ag 2.61, 1 Mg 2.71
Br  0.2319  0.7841  0.2319  1 Ag 2.61, 1 Mg 2.71
Br  0.7681  0.2159  0.7681  1 Ag 2.61, 1 Mg 2.71
Br  0.7681  0.7681  0.2159  1 Ag 2.61, 1 Mg 2.71
Br  0.7841  0.2319  0.2319  1 Ag 2.61, 1 Mg 2.71



[9]
## K2YInPb (GGA-PBE)

Data for K2YInPb after structural relaxation.

As for the energy of formation: 0.604 eV/atom. The value obtained for the density of states at the Fermi level is 5.1 states/eV/cell.

Cell: 7.1219 7.1219 5.7583 Å, 90.00 90.00 90.00°
Last column: nearest neighbours and their distance in Å.
Atoms (fractional coordinates):
K  0.0000  0.5000  0.0000  2 Y 3.56
K  0.5000  0.0000  0.0000  2 Y 3.56
Y  0.0000  0.0000  0.0000  2 Pb 2.88
In  0.5000  0.5000  0.5000  8 K 4.58, 4 Pb 5.04
Pb  0.0000  0.0000  0.5000  2 Y 2.88



[10]
## La2YRu (GGA-PBE)

Data for La2YRu after structural relaxation.

As for the energy of formation: 0.166 eV/atom. The value obtained for the density of states at the Fermi level is 4.5 states/eV/cell. The energy relative to the lowest polymorph listed for this composition comes out at 408 meV per atom.

Cell: 6.2116 6.2116 6.2116 Å, 138.18 138.18 60.62°
Last column: nearest neighbours and their distance in Å.
Atoms (fractional coordinates):
La  0.0000  0.0000  0.0000  4 Y 3.13, 4 La 3.48, 4 Ru 3.48
La  0.7500  0.2500  0.5000  4 Ru 3.13, 4 Y 3.48, 4 La 3.48
Y  0.5000  0.5000  0.0000  8 La 3.13-3.48, 4 Ru 3.48
Ru  0.2500  0.7500  0.5000  8 La 3.13-3.48, 4 Y 3.48



[11]
## MnHg2Os (GGA-PBE)

Data for MnHg2Os after structural relaxation.

As for the energy of formation: 0.673 eV/atom. The value obtained for the density of states at the Fermi level is 2.9 states/eV/cell. The energy relative to the lowest polymorph listed for this composition comes out at 294 meV per atom.

Cell: 4.9906 4.9906 5.0283 Å, 101.32 101.32 35.19°
Last column: nearest neighbours and their distance in Å.
Atoms (fractional coordinates):
Mn  0.0000  0.0000  0.0000  6 Hg 2.87-2.91, 4 Os 2.93, 2 Mn 3.02
Hg  0.2505  0.2505  0.7500  3 Mn 2.87-2.91, 3 Os 2.88-2.91, 6 Hg 2.93-3.02
Hg  0.7495  0.7495  0.2500  3 Mn 2.87-2.91, 3 Os 2.88-2.91, 6 Hg 2.93-3.02
Os  0.5000  0.5000  0.5000  6 Hg 2.88-2.91, 4 Mn 2.93, 2 Os 3.02



[12]
## ThSnPd (GGA-PBE)

Data for ThSnPd after structural relaxation.

As for the energy of formation: -0.398 eV/atom. The value obtained for the density of states at the Fermi level is 4.0 states/eV/cell.

Cell: 5.0521 5.0521 8.1902 Å, 90.00 90.00 120.00°
Last column: nearest neighbours and their distance in Å.
Atoms (fractional coordinates):
Th  0.3333  0.6667  0.1445  4 Pd 2.88-2.96
Th  0.6667  0.3333  0.8555  4 Pd 2.88-2.96
Sn  0.0000  0.0000  0.3228  1 Sn 2.90, 3 Pd 3.07
Sn  0.0000  0.0000  0.6772  1 Sn 2.90, 3 Pd 3.07
Pd  0.3333  0.6667  0.7927  4 Th 2.88-2.96, 3 Sn 3.07
Pd  0.6667  0.3333  0.2073  4 Th 2.88-2.96, 3 Sn 3.07



[13]
## Ca2TmUS6 (GGA-PBE)

Data for Ca2TmUS6 after structural relaxation.

The value obtained for the uncorrected formation energy is -1724 kJ/mol of formula units.

Cell: 7.3077 7.3077 7.3077 Å, 56.78 56.78 56.78°
Last column: nearest neighbours and their distance in Å.
Atoms (fractional coordinates):
Ca  0.0000  0.0000  0.0000  6 S 2.82-2.90
Ca  0.4959  0.4959  0.4959  6 S 2.83-2.93
Tm  0.2031  0.2031  0.2031  6 S 2.68-2.73
U  0.6995  0.6995  0.6995  6 S 2.62-2.63
S  0.0658  0.4318  0.8284  1 U 2.62, 1 Tm 2.73, 2 Ca 2.83-2.90
S  0.3306  0.9196  0.5790  1 U 2.63, 1 Tm 2.68, 2 Ca 2.82-2.93
S  0.4318  0.8285  0.0658  1 U 2.62, 1 Tm 2.73, 2 Ca 2.83-2.90
S  0.5790  0.3306  0.9196  1 U 2.63, 1 Tm 2.68, 2 Ca 2.82-2.93
S  0.8284  0.0658  0.4318  1 U 2.62, 1 Tm 2.73, 2 Ca 2.83-2.90
S  0.9196  0.5790  0.3306  1 U 2.63, 1 Tm 2.68, 2 Ca 2.82-2.93



[14]
## Tb2Ho4Al (GGA-PBE)

Data for Tb2Ho4Al after structural relaxation.

As for the energy of formation: -0.038 eV/atom. The value obtained for the density of states at the Fermi level is 10.4 states/eV/cell.

Cell: 18.9239 18.9239 18.9239 Å, 10.90 10.90 10.90°
Last column: nearest neighbours and their distance in Å.
Atoms (fractional coordinates):
Tb  0.1921  0.1921  0.1921  3 Ho 3.52, 9 Tb 3.54-3.59
Tb  0.8079  0.8079  0.8079  3 Ho 3.52, 9 Tb 3.54-3.59
Ho  0.0909  0.0909  0.0909  3 Tb 3.52, 9 Ho 3.56-3.59
Ho  0.2936  0.2936  0.2936  3 Al 3.05
Ho  0.7064  0.7064  0.7064  3 Al 3.05
Ho  0.9091  0.9091  0.9091  3 Tb 3.52, 9 Ho 3.56-3.59
Al  0.0000  0.0000  0.0000  6 Ho 3.05



[15]
## MgAl2Ga4 (GGA-PBE)

Data for MgAl2Ga4 after structural relaxation.

As for the energy of formation: 0.409 eV/atom. The value obtained for the density of states at the Fermi level is 3.2 states/eV/cell. The energy relative to the lowest polymorph listed for this composition comes out at 351 meV per atom.

Cell: 7.5036 7.5036 7.5036 Å, 140.16 140.16 57.61°
Last column: nearest neighbours and their distance in Å.
Atoms (fractional coordinates):
Mg  0.0000  0.0000  0.0000  6 Ga 2.56-2.66
Al  0.3996  0.3996  0.0000  5 Ga 2.60-2.88, 1 Al 2.64
Al  0.6004  0.6004  0.0000  5 Ga 2.60-2.88, 1 Al 2.64
Ga  0.0000  0.5000  0.5000  2 Mg 2.56
Ga  0.2022  0.2022  0.0000  1 Al 2.60, 1 Mg 2.66
Ga  0.5000  0.0000  0.5000  2 Mg 2.56
Ga  0.7978  0.7978  0.0000  1 Al 2.60, 1 Mg 2.66



[16]
## Ba2Sr6Pt (GGA-PBE)

Data for Ba2Sr6Pt after structural relaxation.

As for the energy of formation: -0.267 eV/atom. The value obtained for the density of states at the Fermi level is 6.0 states/eV/cell.

Cell: 8.6866 8.6866 8.6866 Å, 119.90 119.90 90.17°
Last column: nearest neighbours and their distance in Å.
Atoms (fractional coordinates):
Ba  0.2500  0.7500  0.5000  12 Sr 4.34-4.35
Ba  0.7500  0.2500  0.5000  12 Sr 4.34-4.35
Sr  0.2433  0.2433  0.4867  1 Pt 2.99
Sr  0.2433  0.7567  0.0000  1 Pt 2.99
Sr  0.2441  0.2441  0.0000  1 Pt 2.99
Sr  0.7559  0.7559  0.0000  1 Pt 2.99
Sr  0.7567  0.2433  0.0000  1 Pt 2.99
Sr  0.7567  0.7567  0.5133  1 Pt 2.99
Pt  0.0000  0.0000  0.0000  6 Sr 2.99



[17]
## Tl (GGA-PBE)

Data for Tl after structural relaxation.

As for the energy of formation: 0.227 eV/atom. The value obtained for the density of states at the Fermi level is 1.2 states/eV/cell. The energy relative to the lowest polymorph listed for this composition comes out at 227 meV per atom.

Cell: 5.4135 5.4135 3.2037 Å, 90.00 90.00 120.00°
Last column: nearest neighbours and their distance in Å.
Atoms (fractional coordinates):
Tl  0.3333  0.6667  0.0000  5 Tl 3.13-3.20
Tl  0.6667  0.3333  0.0000  5 Tl 3.13-3.20



[18]
## ZrRe4Ag (GGA-PBE)

Data for ZrRe4Ag after structural relaxation.

As for the energy of formation: 0.103 eV/atom. The value obtained for the density of states at the Fermi level is 3.1 states/eV/cell.

Cell: 5.2625 5.2625 5.2625 Å, 60.00 60.00 60.00°
Last column: nearest neighbours and their distance in Å.
Atoms (fractional coordinates):
Zr  0.0000  0.0000  0.0000  12 Re 3.09, 4 Ag 3.22
Re  0.1271  0.6243  0.6243  6 Re 2.62-2.65
Re  0.6243  0.1271  0.6243  6 Re 2.62-2.65
Re  0.6243  0.6243  0.1271  6 Re 2.62-2.65
Re  0.6243  0.6243  0.6243  6 Re 2.62-2.65
Ag  0.2500  0.2500  0.2500  12 Re 3.08, 4 Zr 3.22



[19]
## SrCa6Ir2 (GGA-PBE)

Data for SrCa6Ir2 after structural relaxation.

As for the energy of formation: -0.163 eV/atom. The value obtained for the density of states at the Fermi level is 5.9 states/eV/cell.

Cell: 8.7415 8.7415 8.7415 Å, 150.08 100.95 86.75°
Last column: nearest neighbours and their distance in Å.
Atoms (fractional coordinates):
Sr  0.0000  0.0000  0.0000  2 Ir 3.13
Ca  0.1031  0.3669  0.7363  2 Ir 2.86
Ca  0.3694  0.6331  0.7363  2 Ir 2.86
Ca  0.3702  0.8702  0.5000  2 Ir 2.94
Ca  0.6298  0.1298  0.5000  2 Ir 2.94
Ca  0.6306  0.3669  0.2637  2 Ir 2.86
Ca  0.8969  0.6331  0.2637  2 Ir 2.86
Ir  0.2814  0.0000  0.2814  6 Ca 2.86-2.94, 1 Sr 3.13
Ir  0.7186  0.0000  0.7186  6 Ca 2.86-2.94, 1 Sr 3.13



[20]
## Ba3IrBr (GGA-PBE)

Data for Ba3IrBr after structural relaxation.

The value obtained for the density of states at the Fermi level is 8.2 states/eV/cell. The value obtained for the uncorrected formation energy is -335 kJ/mol of formula units. The energy relative to the lowest polymorph listed for this composition comes out at 22 meV per atom.

Cell: 8.7043 4.5283 11.4272 Å, 90.00 104.09 90.00°
Last column: nearest neighbours and their distance in Å.
Atoms (fractional coordinates):
Ba  0.1594  0.2500  0.3112  3 Ir 3.15-3.41
Ba  0.2177  0.2500  0.9376  3 Br 3.43-3.53
Ba  0.3229  0.7500  0.6372  3 Ir 3.15-3.47
Ba  0.6771  0.2500  0.3628  3 Ir 3.15-3.47
Ba  0.7823  0.7500  0.0624  3 Br 3.43-3.53
Ba  0.8406  0.7500  0.6888  3 Ir 3.15-3.41
Ir  0.0166  0.2500  0.5394  2 Ir 2.43
Ir  0.9834  0.7500  0.4606  2 Ir 2.43
Br  0.4345  0.7500  0.1525  5 Ba 3.43-3.59
Br  0.5655  0.2500  0.8475  5 Ba 3.43-3.59